# La3Tb4Pr5

A geometry-optimized La3Tb4Pr5 structure (PBE, the Alexandria database).

Results
* ρ: 6.942 g/cm3
* M_tot: 0.000 μB per cell
* energy relative to the elements: 1.7 kJ per mole of atoms
* energy above the most stable polymorph in this dataset: 0.000 eV/atom

abc: 6.378 7.316 9.006
angles: 89.86 89.84 89.93
Fractional coordinates of all 12 atoms:
La: 0.000 0.000 0.000
La: 0.165 0.747 0.335
La: 0.835 0.253 0.665
Tb: 0.169 0.252 0.335
Tb: 0.334 0.501 0.665
Tb: 0.666 0.499 0.335
Tb: 0.831 0.748 0.665
Pr: 0.000 0.500 0.000
Pr: 0.333 0.000 0.665
Pr: 0.498 0.252 0.000
Pr: 0.502 0.748 0.000
Pr: 0.667 0.000 0.335

=====

# La2Tb3Pr6

A geometry-optimized La2Tb3Pr6 structure (PBE, the Alexandria database).

Results
* ρ: 6.530 g/cm3
* M_tot: 0.000 μB per cell
* energy relative to the elements: 15.4 kJ per mole of atoms
* energy above the most stable polymorph in this dataset: 0.000 eV/atom

abc: 6.306 6.306 12.014
angles: 95.09 95.09 120.08
Fractional coordinates of all 11 atoms:
La: 0.167 0.833 0.000
La: 0.833 0.167 0.000
Tb: 0.000 0.000 0.500
Tb: 0.335 0.665 0.500
Tb: 0.665 0.335 0.500
Pr: 0.083 0.416 0.747
Pr: 0.252 0.252 0.253
Pr: 0.416 0.083 0.747
Pr: 0.584 0.917 0.253
Pr: 0.748 0.748 0.747
Pr: 0.917 0.584 0.253

=====

# LaTbPr2

A geometry-optimized LaTbPr2 structure (PBE, the Alexandria database).

Results
* ρ: 6.826 g/cm3
* M_tot: 0.000 μB per cell
* energy relative to the elements: 1.3 kJ per mole of atoms
* energy above the most stable polymorph in this dataset: 0.000 eV/atom

abc: 5.192 5.192 5.232
angles: 90.00 90.00 90.00
Fractional coordinates of all 4 atoms:
La: 0.000 0.000 0.000
Tb: 0.500 0.500 0.000
Pr: 0.000 0.500 0.500
Pr: 0.500 0.000 0.500

=====

# La2TbPr3

A geometry-optimized La2TbPr3 structure (PBE, the Alexandria database).

Results
* ρ: 6.578 g/cm3
* M_tot: 0.000 μB per cell
* energy relative to the elements: 11.5 kJ per mole of atoms
* energy above the most stable polymorph in this dataset: 0.000 eV/atom

abc: 9.436 9.436 7.165
angles: 100.95 100.95 44.02
Fractional coordinates of all 12 atoms:
La: 0.163 0.181 0.088
La: 0.181 0.163 0.588
La: 0.819 0.837 0.412
La: 0.837 0.819 0.912
Tb: 0.239 0.761 0.750
Tb: 0.761 0.239 0.250
Pr: 0.233 0.767 0.250
Pr: 0.351 0.365 0.431
Pr: 0.365 0.351 0.931
Pr: 0.635 0.649 0.069
Pr: 0.649 0.635 0.569
Pr: 0.767 0.233 0.750

=====

# LaTb3Pr

A geometry-optimized LaTb3Pr structure (PBE, the Alexandria database).

Results
* ρ: 7.448 g/cm3
* M_tot: 0.000 μB per cell
* energy relative to the elements: 1.5 kJ per mole of atoms
* energy above the most stable polymorph in this dataset: 0.000 eV/atom

abc: 10.260 3.637 18.083
angles: 90.00 90.00 90.00
Fractional coordinates of all 20 atoms:
La: 0.126 0.250 0.050
La: 0.374 0.750 0.550
La: 0.626 0.250 0.450
La: 0.874 0.750 0.950
Tb: 0.125 0.250 0.449
Tb: 0.125 0.250 0.849
Tb: 0.128 0.250 0.251
Tb: 0.372 0.750 0.751
Tb: 0.375 0.750 0.349
Tb: 0.375 0.750 0.949
Tb: 0.625 0.250 0.051
Tb: 0.625 0.250 0.651
Tb: 0.628 0.250 0.249
Tb: 0.872 0.750 0.749
Tb: 0.875 0.750 0.151
Tb: 0.875 0.750 0.551
Pr: 0.120 0.250 0.651
Pr: 0.380 0.750 0.151
Pr: 0.620 0.250 0.849
Pr: 0.880 0.750 0.349

=====

# La4TbPr3

A geometry-optimized La4TbPr3 structure (PBE, the Alexandria database).

Results
* ρ: 6.496 g/cm3
* M_tot: 0.000 μB per cell
* energy relative to the elements: 31.5 kJ per mole of atoms
* energy above the most stable polymorph in this dataset: 0.138 eV/atom

abc: 9.158 9.158 3.500
angles: 90.00 90.00 97.90
Fractional coordinates of all 8 atoms:
La: 0.245 0.755 0.000
La: 0.248 0.248 0.500
La: 0.752 0.752 0.500
La: 0.755 0.245 0.000
Tb: 0.000 0.000 0.000
Pr: 0.000 0.500 0.500
Pr: 0.500 0.000 0.500
Pr: 0.500 0.500 0.000

=====

DOS at the Fermi energy, record by record: 18.8, 16.5, 6.8, 8.3, 6.6, 19.3 states/eV/f.u.